First-principles (PBE) data for crystalline Re2TeAs at its relaxed geometry, as listed in Alexandria.

Fermi-level density of states	0.621	states/eV/atom
total magnetization	0.0	μB per formula unit
ΔE_f (raw)	0.407	eV per atom

abc: 2.992 3.880 7.165
angles: 90.00 90.00 90.00
Space group Pmm2 (No. 25)
Inequivalent atoms, fractional coordinates:
1 Re 0.000 0.000 0.000 [1 per cell]
2 Re 0.500 0.500 0.159 [1 per cell]
3 Te 0.000 0.000 0.379 [1 per cell]
4 As 0.500 0.500 0.811 [1 per cell]


First-principles (PBE) data for crystalline AlCr2Cd at its relaxed geometry, as listed in Alexandria.

Fermi-level density of states	0.505	states/eV/atom
total magnetization	0.0	μB per formula unit
energy relative to the elements	1.10	eV per formula unit

abc: 2.8599 2.8599 26.4655
angles: 90.00 90.00 120.00
Space group R3m (No. 160, hexagonal axes)
Inequivalent atoms, fractional coordinates:
1 Al 0.0000 0.0000 0.0000 [3 per cell]
2 Cr 0.0000 0.0000 0.4717 [3 per cell]
3 Cr 0.0000 0.0000 0.7477 [3 per cell]
4 Cd 0.0000 0.0000 0.2328 [3 per cell]


First-principles (PBE) data for crystalline In2ReAs at its relaxed geometry, as listed in Alexandria.

Fermi-level density of states	1.123	states/eV/atom
total magnetization	0.0	μB per formula unit
energy relative to the elements	2.74	eV per formula unit

abc: 4.275 4.275 8.436
angles: 90.00 90.00 90.00
Space group I-4m2 (No. 119)
Inequivalent atoms, fractional coordinates:
1 In 0.000 0.000 0.000 [2 per cell]
2 In 0.000 0.500 0.250 [2 per cell]
3 Re 0.000 0.500 0.750 [2 per cell]
4 As 0.000 0.000 0.500 [2 per cell]


First-principles (PBE) data for crystalline Be3TeIr at its relaxed geometry, as listed in Alexandria.

Fermi-level density of states	0.499	states/eV/atom
total magnetization	0.0	μB per formula unit
ΔE_f (raw)	0.388	eV per atom

abc: 4.335 4.335 4.335
angles: 90.00 90.00 90.00
Space group Pm-3m (No. 221)
Inequivalent atoms, fractional coordinates:
1 Be 0.000 0.000 0.500 [3 per cell]
2 Te 0.500 0.500 0.500 [1 per cell]
3 Ir 0.000 0.000 0.000 [1 per cell]


First-principles (PBE) data for crystalline CoHg3B at its relaxed geometry, as listed in Alexandria.

Fermi-level density of states	0.639	states/eV/atom
total magnetization	2.0	μB per formula unit
energy relative to the elements	5.11	eV per formula unit

abc: 4.606 4.606 4.606
angles: 90.00 90.00 90.00
Space group Pm-3m (No. 221)
Inequivalent atoms, fractional coordinates:
1 Co 0.000 0.000 0.000 [1 per cell]
2 Hg 0.000 0.500 0.500 [3 per cell]
3 B 0.500 0.500 0.500 [1 per cell]


First-principles (PBE) data for crystalline Tb3Y8Tm at its relaxed geometry, as listed in Alexandria.

Fermi-level density of states	1.412	states/eV/atom
total magnetization	0.0	μB per formula unit
energy relative to the elements	0.28	eV per formula unit

abc: 6.139 6.162 10.714
angles: 90.24 90.44 109.09
Space group P-1 (No. 2)
Inequivalent atoms, fractional coordinates:
1 Tb 0.000 0.000 0.000 [1 per cell]
2 Tb 0.000 0.500 0.500 [1 per cell]
3 Tb 0.500 0.000 0.500 [1 per cell]
4 Y 0.000 0.000 0.333 [2 per cell]
5 Y 0.000 0.500 0.166 [2 per cell]
6 Y 0.500 0.000 0.166 [2 per cell]
7 Y 0.500 0.500 0.333 [2 per cell]
8 Tm 0.500 0.500 0.000 [1 per cell]


First-principles (PBE) data for crystalline BePH2 at its relaxed geometry, as listed in Alexandria.

Fermi-level density of states	0.237	states/eV/atom
final energy	-0.2499	Ry per atom
total magnetization	0.0	μB per formula unit

abc: 4.574 4.574 6.644
angles: 90.00 90.00 90.00
Space group I-42d (No. 122)
Inequivalent atoms, fractional coordinates:
1 Be 0.000 0.000 0.000 [4 per cell]
2 P 0.000 0.000 0.500 [4 per cell]
3 H 0.002 0.750 0.125 [8 per cell]


First-principles (PBE) data for crystalline CeYMn17 at its relaxed geometry, as listed in Alexandria.

Fermi-level density of states	1.033	states/eV/atom
total magnetization	5.0	μB per formula unit
energy relative to the elements	0.29	eV per formula unit

abc: 8.6363 8.6363 11.6203
angles: 90.00 90.00 120.00
Space group R3m (No. 160, hexagonal axes)
Inequivalent atoms, fractional coordinates:
1 Ce 0.0000 0.0000 0.0000 [3 per cell]
2 Y 0.0000 0.0000 0.2910 [3 per cell]
3 Mn 0.0000 0.0000 0.5462 [3 per cell]
4 Mn 0.0000 0.0000 0.7466 [3 per cell]
5 Mn 0.0002 0.2736 0.6446 [18 per cell]
6 Mn 0.0027 0.5014 0.1434 [9 per cell]
7 Mn 0.0159 0.5079 0.5096 [9 per cell]
8 Mn 0.1715 0.3430 0.1163 [9 per cell]


First-principles (PBE) data for crystalline NaPm2Os at its relaxed geometry, as listed in Alexandria.

Fermi-level density of states	0.603	states/eV/atom
total magnetization	0.0	μB per formula unit
energy relative to the elements	-0.12	eV per formula unit

abc: 3.475 3.475 9.698
angles: 90.00 90.00 90.00
Space group P4/mmm (No. 123)
Inequivalent atoms, fractional coordinates:
1 Na 0.000 0.000 0.000 [1 per cell]
2 Pm 0.500 0.500 0.324 [2 per cell]
3 Os 0.000 0.000 0.500 [1 per cell]


First-principles (PBE) data for crystalline In2AsPt at its relaxed geometry, as listed in Alexandria.

Fermi-level density of states	0.384	states/eV/atom
total magnetization	0.0	μB per formula unit
energy relative to the elements	0.04	eV per formula unit

abc: 4.460 4.460 8.141
angles: 90.00 90.00 90.00
Space group I4/mmm (No. 139)
Inequivalent atoms, fractional coordinates:
1 In 0.000 0.500 0.250 [4 per cell]
2 As 0.000 0.000 0.000 [2 per cell]
3 Pt 0.000 0.000 0.500 [2 per cell]


First-principles (PBE) data for crystalline Li2CrCuGe at its relaxed geometry, as listed in Alexandria.

Fermi-level density of states	0.466	states/eV/atom
total magnetization	4.5	μB per formula unit
energy relative to the elements	4.52	eV per formula unit

abc: 4.645 4.645 4.664
angles: 90.00 90.00 90.00
Space group P4/mmm (No. 123)
Inequivalent atoms, fractional coordinates:
1 Li 0.000 0.500 0.000 [2 per cell]
2 Cr 0.000 0.000 0.000 [1 per cell]
3 Cu 0.000 0.000 0.500 [1 per cell]
4 Ge 0.500 0.500 0.500 [1 per cell]


First-principles (PBE) data for crystalline Tl2GaAu at its relaxed geometry, as listed in Alexandria.

Fermi-level density of states	0.271	states/eV/atom
total magnetization	0.0	μB per formula unit
energy relative to the elements	0.30	eV per formula unit

abc: 3.552 3.552 7.809
angles: 90.00 90.00 90.00
Space group P4/mmm (No. 123)
Inequivalent atoms, fractional coordinates:
1 Tl 0.000 0.000 0.237 [2 per cell]
2 Ga 0.500 0.500 0.500 [1 per cell]
3 Au 0.500 0.500 0.000 [1 per cell]


First-principles (PBE) data for crystalline Tb2Y7Pu at its relaxed geometry, as listed in Alexandria.

Fermi-level density of states	1.933	states/eV/atom
total magnetization	6.0	μB per formula unit
energy relative to the elements	0.42	eV per formula unit

abc: 6.205 3.553 14.533
angles: 90.00 98.13 90.00
Space group P2/m (No. 10)
Inequivalent atoms, fractional coordinates:
1 Tb 0.132 0.000 0.398 [2 per cell]
2 Y 0.100 0.500 0.804 [2 per cell]
3 Y 0.366 0.500 0.601 [2 per cell]
4 Y 0.396 0.000 0.199 [2 per cell]
5 Y 0.500 0.500 0.000 [1 per cell]
6 Pu 0.000 0.000 0.000 [1 per cell]


First-principles (PBE) data for crystalline Zr2BeGa3 at its relaxed geometry, as listed in Alexandria.

Fermi-level density of states	0.453	states/eV/atom
total magnetization	0.0	μB per formula unit
energy relative to the elements	-2.98	eV per formula unit

abc: 3.627 3.992 6.968
angles: 90.00 90.00 90.00
Space group Pmm2 (No. 25)
Inequivalent atoms, fractional coordinates:
1 Zr 0.000 0.000 0.000 [1 per cell]
2 Zr 0.000 0.500 0.484 [1 per cell]
3 Be 0.500 0.000 0.319 [1 per cell]
4 Ga 0.500 0.000 0.636 [1 per cell]
5 Ga 0.500 0.500 0.174 [1 per cell]
6 Ga 0.500 0.500 0.828 [1 per cell]


First-principles (PBE) data for crystalline Pm2HoPb at its relaxed geometry, as listed in Alexandria.

Fermi-level density of states	1.734	states/eV/atom
total magnetization	0.7	μB per formula unit
energy relative to the elements	0.28	eV per formula unit

abc: 3.5169 3.5169 36.5250
angles: 90.00 90.00 120.00
Space group R-3m (No. 166, hexagonal axes)
Inequivalent atoms, fractional coordinates:
1 Pm 0.0000 0.0000 0.0918 [6 per cell]
2 Ho 0.0000 0.0000 0.0000 [3 per cell]
3 Pb 0.0000 0.0000 0.5000 [3 per cell]


First-principles (PBE) data for crystalline CsInGePt at its relaxed geometry, as listed in Alexandria.

Fermi-level density of states	0.750	states/eV/atom
total magnetization	0.0	μB per formula unit
energy relative to the elements	-1.17	eV per formula unit

abc: 4.3556 4.3556 22.5051
angles: 90.00 90.00 120.00
Space group R3m (No. 160, hexagonal axes)
Inequivalent atoms, fractional coordinates:
1 Cs 0.0000 0.0000 0.0000 [3 per cell]
2 In 0.0000 0.0000 0.8011 [3 per cell]
3 Ge 0.0000 0.0000 0.5449 [3 per cell]
4 Pt 0.0000 0.0000 0.1922 [3 per cell]


First-principles (PBE) data for crystalline KZnSeS2 at its relaxed geometry, as listed in Alexandria.

Fermi-level density of states	0.200	states/eV/atom
total magnetization	0.0	μB per formula unit
ΔE_f (raw)	-0.105	eV per atom

abc: 5.109 5.109 4.909
angles: 90.00 90.00 90.00
Space group P4/mmm (No. 123)
Inequivalent atoms, fractional coordinates:
1 K 0.000 0.000 0.000 [1 per cell]
2 Zn 0.500 0.500 0.000 [1 per cell]
3 Se 0.500 0.500 0.500 [1 per cell]
4 S 0.000 0.500 0.500 [2 per cell]


First-principles (PBE) data for crystalline Li2TaRu at its relaxed geometry, as listed in Alexandria.

Fermi-level density of states	0.733	states/eV/atom
total magnetization	0.0	μB per formula unit
energy relative to the elements	2.06	eV per formula unit

abc: 5.971 5.971 5.971
angles: 90.00 90.00 90.00
Space group Fm-3m (No. 225)
Inequivalent atoms, fractional coordinates:
1 Li 0.250 0.250 0.250 [8 per cell]
2 Ta 0.000 0.000 0.000 [4 per cell]
3 Ru 0.000 0.000 0.500 [4 per cell]


First-principles (PBE) data for crystalline CaScP2Cl at its relaxed geometry, as listed in Alexandria.

Fermi-level density of states	0.276	states/eV/atom
total magnetization	0.0	μB per formula unit
ΔE_f (raw)	-0.842	eV per atom

abc: 4.931 4.931 5.092
angles: 90.00 90.00 90.00
Space group P4/mmm (No. 123)
Inequivalent atoms, fractional coordinates:
1 Ca 0.000 0.000 0.000 [1 per cell]
2 Sc 0.500 0.500 0.500 [1 per cell]
3 P 0.000 0.500 0.500 [2 per cell]
4 Cl 0.500 0.500 0.000 [1 per cell]


First-principles (PBE) data for crystalline K2SbS4 at its relaxed geometry, as listed in Alexandria.

Fermi-level density of states	0.669	states/eV/atom
total magnetization	0.9	μB per formula unit
ΔE_f (raw)	-0.395	eV per atom

abc: 5.171 5.171 15.684
angles: 90.00 90.00 90.00
Space group I4/mmm (No. 139)
Inequivalent atoms, fractional coordinates:
1 K 0.000 0.000 0.136 [4 per cell]
2 Sb 0.000 0.000 0.500 [2 per cell]
3 S 0.000 0.000 0.348 [4 per cell]
4 S 0.000 0.500 0.000 [4 per cell]


First-principles (PBE) data for crystalline BaNb2Xe5F22 at its relaxed geometry, as listed in Alexandria.

Fermi-level density of states	0.000	states/eV/atom
total magnetization	0.0	μB per formula unit
ΔE_f (raw)	-1.884	eV per atom

abc: 12.340 14.238 14.276
angles: 90.00 90.00 90.00
Space group Fmmm (No. 69)
Inequivalent atoms, fractional coordinates:
1 Ba 0.000 0.000 0.000 [4 per cell]
2 Nb 0.250 0.250 0.000 [8 per cell]
3 Xe 0.000 0.000 0.500 [4 per cell]
4 Xe 0.000 0.250 0.250 [8 per cell]
5 Xe 0.250 0.000 0.250 [8 per cell]
6 F 0.000 0.000 0.355 [8 per cell]
7 F 0.000 0.121 0.181 [16 per cell]
8 F 0.126 0.165 0.000 [16 per cell]
9 F 0.180 0.175 0.404 [32 per cell]
10 F 0.187 0.000 0.115 [16 per cell]


First-principles (PBE) data for crystalline NaMg3 at its relaxed geometry, as listed in Alexandria.

Fermi-level density of states	0.490	states/eV/atom
total magnetization	0.0	μB per formula unit
energy relative to the elements	0.36	eV per formula unit

abc: 6.669 9.430 3.222
angles: 90.00 90.00 90.00
Space group Cmmm (No. 65)
Inequivalent atoms, fractional coordinates:
1 Na 0.000 0.000 0.000 [2 per cell]
2 Mg 0.000 0.500 0.000 [2 per cell]
3 Mg 0.250 0.250 0.500 [4 per cell]


First-principles (PBE) data for crystalline Cs3SrMg2H9 at its relaxed geometry, as listed in Alexandria.

Fermi-level density of states	0.000	states/eV/atom
final energy	-0.2041	Ry per atom
total magnetization	0.0	μB per formula unit

abc: 6.2290 6.2290 7.6664
angles: 90.00 90.00 120.00
Space group P-3m1 (No. 164)
Inequivalent atoms, fractional coordinates:
1 Cs 0.0000 0.0000 0.0000 [1 per cell]
2 Cs 0.3333 0.6667 0.6770 [2 per cell]
3 Sr 0.0000 0.0000 0.5000 [1 per cell]
4 Mg 0.3333 0.6667 0.1608 [2 per cell]
5 H 0.0000 0.5000 0.0000 [3 per cell]
6 H 0.1821 0.3642 0.3113 [6 per cell]


First-principles (PBE) data for crystalline AcInTeO5 at its relaxed geometry, as listed in Alexandria.

Fermi-level density of states	0.000	states/eV/atom
total magnetization	0.0	μB per formula unit
ΔE_f (raw)	-1.875	eV per atom

abc: 7.999 9.279 8.038
angles: 90.00 116.34 90.00
Space group C2/c (No. 15)
Inequivalent atoms, fractional coordinates:
1 Ac 0.000 0.065 0.250 [4 per cell]
2 In 0.250 0.250 0.000 [4 per cell]
3 Te 0.000 0.472 0.250 [4 per cell]
4 O 0.000 0.196 0.750 [4 per cell]
5 O 0.038 0.325 0.101 [8 per cell]
6 O 0.210 0.025 0.077 [8 per cell]


First-principles (PBE) data for crystalline Cs2SiAsCl6 at its relaxed geometry, as listed in Alexandria.

Fermi-level density of states	0.487	states/eV/atom
total magnetization	0.0	μB per formula unit
ΔE_f (raw)	-1.081	eV per atom

abc: 7.407 7.407 10.454
angles: 90.00 90.00 90.00
Space group I4/mmm (No. 139)
Inequivalent atoms, fractional coordinates:
1 Cs 0.000 0.500 0.250 [4 per cell]
2 Si 0.000 0.000 0.000 [2 per cell]
3 As 0.000 0.000 0.500 [2 per cell]
4 Cl 0.000 0.000 0.245 [4 per cell]
5 Cl 0.243 0.243 0.000 [8 per cell]